Compound: K2MgZrGe
Source: Alexandria via LeMat-Bulk
Functional: meta-GGA SCAN
Structure: PBEsol geometry

Properties
**ΔH_f (0 K)**: 87.7 kJ/mol of atoms
**Raw total energy**: -66.875 eV per cell

The structure in POSCAR format:
```
K2MgZrGe
1.0
-0.043 0.347 4.933
-4.499 -4.414 0.270
4.422 -4.485 0.354
Mg Zr K Ge
1 1 2 1
Direct
0.500 0.000 0.000 Mg
0.500 0.500 0.500 Zr
0.000 0.500 0.000 K
0.000 0.000 0.500 K
0.000 0.000 0.000 Ge
```



Compound: KMnGe2Ru
Source: Alexandria via LeMat-Bulk
Functional: meta-GGA SCAN
Structure: PBEsol geometry

Properties
**ΔH_f (0 K)**: 229.8 kJ/mol of atoms
**Raw total energy**: -87.675 eV per cell

The structure in POSCAR format:
```
KMnGe2Ru
1.0
4.382 0.000 0.000
0.000 5.012 0.000
0.000 0.000 5.012
Ru Mn Ge K
1 1 2 1
Direct
0.500 0.500 0.500 Ru
0.500 0.000 0.000 Mn
0.000 0.500 0.000 Ge
0.000 0.000 0.500 Ge
0.000 0.000 0.000 K
```



Compound: K3GeMo
Source: Alexandria via LeMat-Bulk
Functional: meta-GGA SCAN
Structure: PBEsol geometry

Properties
**ΔH_f (0 K)**: 105.6 kJ/mol of atoms
**Raw total energy**: -73.488 eV per cell

The structure in POSCAR format:
```
K3GeMo
1.0
-1.938 4.276 -4.304
-6.065 -1.488 1.253
-0.164 4.479 4.525
K Mo Ge
3 1 1
Direct
0.000 0.500 0.000 K
0.500 0.000 0.000 K
0.000 0.000 0.500 K
0.500 0.500 0.500 Mo
0.000 0.000 0.000 Ge
```



Compound: K2RbGeMo
Source: Alexandria via LeMat-Bulk
Functional: meta-GGA SCAN
Structure: PBEsol geometry

Properties
**ΔH_f (0 K)**: 144.9 kJ/mol of atoms
**Raw total energy**: -83.861 eV per cell

The structure in POSCAR format:
```
K2RbGeMo
1.0
-0.638 5.697 0.170
-4.874 -0.664 3.999
3.992 0.300 4.915
K Rb Mo Ge
2 1 1 1
Direct
0.000 0.000 0.500 K
0.000 0.500 0.000 K
0.000 0.000 0.000 Rb
0.500 0.500 0.500 Mo
0.500 0.000 0.000 Ge
```